A plane-wave DFT calculation with PBE-GGA was carried out for a relaxed structure of LaAs.

- SG: Fm-3m
- VASP energy: -0.234 hartree per atom

Cell and atoms, written as POSCAR:
```
LaAs
1.0
-0.2297 -4.1472 1.3805
1.2219 -1.0202 4.0772
-3.0081 -1.1573 2.9613
La As
1 1
Cartesian
0.0000 0.0000 0.0000
-1.0080 -3.1623 4.2095
```